Entry one
LiCaSi2 | PBE | relaxed

Structure (extended XYZ):
```
4
Lattice="-1.815 7.282 0.322 -4.648 5.629 -1.772 -4.735 5.435 2.114" Properties=species:S:1:pos:R:3 pbc="T T T"
Si -10.996 18.016 0.652
Si -3.127 5.123 0.185
Ca -5.834 9.558 0.346
Li -8.038 13.169 0.477
```

Entry two
LiCaSi2 | PBE | relaxed

Structure (extended XYZ):
```
4
Lattice="-3.518 -3.158 0.715 -0.931 -1.582 4.414 -4.009 1.351 2.227" Properties=species:S:1:pos:R:3 pbc="T T T"
Si -2.114 -0.847 1.839
Si -6.343 -2.541 5.518
Li 0.000 0.000 0.000
Ca -4.229 -1.694 3.679
```

Entry three
LiCaSi2 | PBE | relaxed

Structure (extended XYZ):
```
4
Lattice="-4.187 -1.319 4.755 5.140 -0.630 0.833 -0.121 1.899 2.186" Properties=species:S:1:pos:R:3 pbc="T T T"
Ca 2.510 0.635 1.509
Li 0.477 -0.974 2.794
Si 0.000 0.000 0.000
Si -2.154 0.290 3.470
```

Entry four
LiCaSi2 | PBE | relaxed

Structure (extended XYZ):
```
4
Lattice="-3.698 -0.906 -8.532 -2.367 -3.770 -8.214 -5.256 -3.222 -7.020" Properties=species:S:1:pos:R:3 pbc="T T T"
Ca -2.830 -1.975 -5.942
Si -5.593 -3.903 -11.743
Si -0.067 -0.047 -0.141
Li -8.491 -5.924 -17.825
```

entry one ends up most stable, edging out the next structure by 0.8 kJ/mol of atoms.

Entry one
LiCaSi2 | PBE | relaxed

Structure (extended XYZ):
```
4
Lattice="-0.879 -0.113 3.711 -1.560 -3.949 -0.489 3.988 -3.991 0.824" Properties=species:S:1:pos:R:3 pbc="T T T"
Si 3.569 -4.679 0.704
Si 0.426 -1.285 2.023
Li 1.852 -6.499 2.203
Ca 0.905 -3.551 0.107
```

Entry two
LiCaSi2 | PBE | relaxed

Structure (extended XYZ):
```
16
Lattice="4.264 0.000 0.000 0.000 6.804 0.000 0.000 0.000 11.136" Properties=species:S:1:pos:R:3 pbc="T T T"
Ca 1.066 0.948 9.525
Ca 1.066 4.350 7.179
Ca 3.198 2.454 3.957
Ca 3.198 5.856 1.611
Si 3.198 6.583 7.426
Si 1.066 0.221 3.710
Si 1.066 3.623 1.858
Si 1.066 1.285 1.606
Si 3.198 2.117 7.174
Si 3.198 5.519 9.530
Si 1.066 4.687 3.962
Si 3.198 3.181 9.278
Li 1.066 0.875 6.203
Li 3.198 5.930 4.933
Li 1.066 4.277 10.501
Li 3.198 2.528 0.635
```

Entry three
LiCaSi2 | PBE | relaxed

Structure (extended XYZ):
```
16
Lattice="3.805 0.000 0.000 0.000 7.929 0.000 0.000 0.000 10.664" Properties=species:S:1:pos:R:3 pbc="T T T"
Si 2.854 2.125 0.721
Si 2.854 6.614 8.806
Si 0.951 5.804 9.943
Si 2.854 2.649 7.190
Si 2.854 6.090 4.611
Si 0.951 1.315 1.858
Si 0.951 5.280 3.474
Si 0.951 1.839 6.053
Li 0.951 3.955 1.191
Li 2.854 0.010 6.523
Li 0.951 7.919 4.141
Li 2.854 3.974 9.473
Ca 2.854 6.863 1.450
Ca 0.951 5.030 6.782
Ca 0.951 1.066 9.214
Ca 2.854 2.899 3.882
```

Entry four
LiCaSi2 | PBE | relaxed

Structure (extended XYZ):
```
4
Lattice="-2.619 -0.207 2.159 1.571 -2.513 1.667 3.076 4.698 4.183" Properties=species:S:1:pos:R:3 pbc="T T T"
Li 1.998 2.492 5.343
Ca 1.435 2.192 1.952
Si 0.015 -0.537 2.645
Si 0.118 0.180 0.161
```

entry three ends up most stable, edging out the next structure by 0.5 kJ/mol of atoms.

Entry one
LiCaSi2 | PBE | relaxed

Structure (extended XYZ):
```
4
Lattice="4.634 -0.008 0.022 3.053 3.485 0.022 1.801 0.815 5.076" Properties=species:S:1:pos:R:3 pbc="T T T"
Si 7.789 3.524 0.677
Si 4.642 2.100 1.925
Ca 7.116 3.219 3.839
Li 2.372 1.073 1.280
```

Entry two
LiCaSi2 | PBE | relaxed

Structure (extended XYZ):
```
4
Lattice="4.778 0.000 0.000 2.389 4.138 0.000 2.389 1.379 3.901" Properties=species:S:1:pos:R:3 pbc="T T T"
Si 2.389 1.379 0.975
Si 0.000 0.000 0.000
Li 7.167 4.138 2.926
Ca 4.778 2.759 1.951
```

Entry three
LiCaSi2 | PBE | relaxed

Structure (extended XYZ):
```
4
Lattice="-1.267 1.114 2.327 0.822 -2.283 1.542 7.348 4.041 2.066" Properties=species:S:1:pos:R:3 pbc="T T T"
Si 3.812 2.097 1.072
Si 7.210 3.965 2.028
Li 5.289 2.447 3.484
Ca 1.614 0.426 2.451
```

entry one ends up most stable, edging out the next structure by 23.9 kJ/mol of atoms.

Entry one
LiCaSi2 | PBE | relaxed

Structure (extended XYZ):
```
4
Lattice="-2.999 3.508 2.381 -4.118 -2.382 2.081 5.089 -0.983 0.316" Properties=species:S:1:pos:R:3 pbc="T T T"
Li -0.734 1.544 2.464
Ca -3.558 0.563 2.231
Si -1.294 -1.401 2.314
Si 0.000 0.000 0.000
```

Entry two
LiCaSi2 | PBE | relaxed

Structure (extended XYZ):
```
4
Lattice="6.010 -0.009 0.021 4.878 3.510 0.021 1.530 0.492 3.984" Properties=species:S:1:pos:R:3 pbc="T T T"
Ca 5.930 1.907 2.134
Li 2.868 0.922 1.103
Si 9.054 2.911 3.130
Si 2.305 0.741 3.657
```

entry two ends up most stable, edging out the next structure by 26.0 kJ/mol of atoms.

Entry one
LiCaSi2 | PBE | relaxed

Structure (extended XYZ):
```
8
Lattice="4.640 0.000 0.000 0.000 4.640 0.000 2.320 2.320 8.507" Properties=species:S:1:pos:R:3 pbc="T T T"
Si 5.800 4.397 6.380
Si 3.480 4.882 6.380
Si 2.563 3.480 2.127
Si 2.077 1.160 2.127
Ca 0.000 0.000 0.000
Ca 4.640 2.320 4.253
Li 2.320 4.640 4.253
Li 2.320 2.320 0.000
```

Entry two
LiCaSi2 | PBE | relaxed

Structure (extended XYZ):
```
4
Lattice="5.256 0.001 0.000 2.089 4.823 0.000 -3.673 -2.412 2.885" Properties=species:S:1:pos:R:3 pbc="T T T"
Ca 1.044 2.412 1.443
Si 3.673 2.412 0.000
Si 0.000 0.000 0.000
Li 2.628 0.000 1.443
```

Entry three
LiCaSi2 | PBE | relaxed

Structure (extended XYZ):
```
4
Lattice="-1.299 2.343 -1.527 0.154 -2.046 -3.271 -5.678 -2.360 1.208" Properties=species:S:1:pos:R:3 pbc="T T T"
Li -4.831 -1.621 -1.493
Ca -1.992 -0.441 -2.097
Si -3.190 -1.326 0.679
Si -5.326 -2.214 1.134
```

Entry four
LiCaSi2 | PBE | relaxed

Structure (extended XYZ):
```
4
Lattice="-2.401 2.614 -1.990 -3.284 -1.979 1.363 -0.098 2.565 3.489" Properties=species:S:1:pos:R:3 pbc="T T T"
Li -1.691 0.293 2.426
Si -2.843 0.318 -0.313
Si 0.000 0.000 0.000
Ca -1.250 2.590 0.749
```

entry three ends up most stable, edging out the next structure by 3.6 kJ/mol of atoms.

Entry one
LiCaTaSi | PBE | relaxed

Structure (extended XYZ):
```
8
Lattice="3.024 0.000 -0.003 0.000 4.560 0.000 -3.012 0.000 10.592" Properties=species:S:1:pos:R:3 pbc="T T T"
Ca -1.910 2.280 8.520
Ca -0.404 0.000 3.224
Si 1.111 0.000 5.819
Si 2.617 2.280 0.523
Ta 1.106 0.000 0.269
Ta -0.401 2.280 5.564
Li 1.108 2.280 2.547
Li -0.398 0.000 7.843
```

Entry two
LiCaTaSi | PBE | relaxed

Structure (extended XYZ):
```
8
Lattice="-1.498 -2.679 -4.861 3.667 -1.618 -0.238 -1.438 -4.299 7.045" Properties=species:S:1:pos:R:3 pbc="T T T"
Li 1.157 -2.200 -1.087
Li -1.396 -3.541 2.555
Ta 1.191 -2.541 1.755
Ta -1.361 -3.881 5.397
Si -0.351 -0.884 0.592
Si 0.763 -3.842 3.996
Ca -1.612 -3.573 -0.550
Ca -0.498 -6.532 2.854
```

Entry three
LiCaTaSi | PBE | relaxed

Structure (extended XYZ):
```
4
Lattice="3.784 0.000 0.000 0.000 3.033 0.000 0.000 0.000 6.642" Properties=species:S:1:pos:R:3 pbc="T T T"
Ta 1.892 0.000 5.496
Li 0.000 1.516 4.044
Ca 1.892 0.000 2.069
Si 0.000 1.516 0.078
```

Entry four
LiCaTaSi | PBE | relaxed

Structure (extended XYZ):
```
4
Lattice="-1.644 2.135 -1.208 -4.799 -5.588 -3.347 -1.742 -0.306 3.009" Properties=species:S:1:pos:R:3 pbc="T T T"
Ca -1.860 -0.142 -1.328
Si -4.175 -2.837 -2.943
Ta -3.347 -3.037 -0.223
Li -5.101 -5.079 -1.446
```

entry three ends up most stable, edging out the next structure by 2.5 kJ/mol of atoms.

Entry one
LiCaTaSi | PBE | relaxed

Structure (extended XYZ):
```
8
Lattice="4.834 0.000 0.000 0.000 3.050 0.000 0.000 0.000 10.088" Properties=species:S:1:pos:R:3 pbc="T T T"
Ca 2.417 1.525 6.154
Ca 2.417 0.000 1.110
Ta 0.000 0.000 7.943
Ta 0.000 1.525 2.899
Si 0.000 1.525 0.146
Si 0.000 0.000 5.190
Li 2.417 0.000 3.729
Li 2.417 1.525 8.773
```

Entry two
LiCaTaSi | PBE | relaxed

Structure (extended XYZ):
```
8
Lattice="3.588 0.000 0.000 0.000 3.767 0.000 0.000 0.000 11.588" Properties=species:S:1:pos:R:3 pbc="T T T"
Si 0.000 0.000 6.552
Si 0.000 1.883 0.758
Li 1.794 1.883 2.454
Li 1.794 0.000 8.248
Ta 1.794 0.000 0.271
Ta 1.794 1.883 6.065
Ca 0.000 0.000 3.703
Ca 0.000 1.883 9.497
```

entry two ends up most stable, edging out the next structure by 9.9 kJ/mol of atoms.

Entry one
LiCaSm2 | PBE | relaxed

Structure (extended XYZ):
```
4
Lattice="-3.560 2.484 3.584 -2.790 -3.902 -0.067 2.454 -1.819 3.699" Properties=species:S:1:pos:R:3 pbc="T T T"
Li -1.780 1.242 1.792
Sm 1.227 -0.910 1.849
Sm -1.395 -1.951 -0.034
Ca -1.948 -1.619 3.608
```

Entry two
LiCaSm2 | PBE | relaxed

Structure (extended XYZ):
```
4
Lattice="-0.826 3.418 -0.019 -2.653 1.157 -1.998 -9.312 -0.392 9.042" Properties=species:S:1:pos:R:3 pbc="T T T"
Sm -5.569 4.083 0.473
Sm -7.223 0.099 6.552
Ca -6.396 2.091 3.512
Li 0.000 0.000 0.000
```

Entry three
LiCaSm2 | PBE | relaxed

Structure (extended XYZ):
```
4
Lattice="3.760 0.000 0.000 0.000 3.760 0.000 0.000 0.000 9.028" Properties=species:S:1:pos:R:3 pbc="T T T"
Li 1.880 1.880 0.000
Ca 1.880 1.880 4.514
Sm 0.000 0.000 1.823
Sm 0.000 0.000 7.205
```

entry three ends up most stable, edging out the next structure by 4.6 kJ/mol of atoms.

Entry one
LiCaSn3 | PBE | relaxed

Structure (extended XYZ):
```
10
Lattice="6.164 0.000 0.700 0.000 6.437 0.000 -0.730 -3.219 6.453" Properties=species:S:1:pos:R:3 pbc="T T T"
Sn 1.346 1.627 1.876
Sn 4.088 -1.592 5.277
Sn 4.362 0.000 2.843
Sn 1.072 3.219 4.310
Sn 1.346 4.811 1.876
Sn 4.088 1.592 5.277
Ca 0.970 0.000 5.247
Ca 4.464 3.219 1.906
Li 0.000 0.000 0.000
Li 3.082 0.000 0.350
```

Entry two
LiCaSn3 | PBE | relaxed

Structure (extended XYZ):
```
5
Lattice="-2.402 1.920 -4.917 3.088 -3.871 -3.019 -4.281 -3.869 0.581" Properties=species:S:1:pos:R:3 pbc="T T T"
Li -1.798 -2.910 -3.678
Ca 0.000 0.000 0.000
Sn -2.141 -1.934 0.290
Sn 1.544 -1.935 -1.510
Sn -1.201 0.960 -2.459
```

entry one ends up most stable, edging out the next structure by 81.9 kJ/mol of atoms.